# Li2CaIn

A PBEsol-optimized structure of Li2CaIn (meta-GGA SCAN, the Alexandria database).

Unit cell a=4.2445 b=4.6865 c=4.8949 alpha=90.00 beta=90.00 gamma=90.00
Closest atoms and distances in Å follow each position.
Space group Pmmm (No. 47)
Symmetry-distinct sites (fractional):
1 Li 0.0000 0.0000 0.0000 (multiplicity 1)  4 In 3.16, 4 Li 3.24, 4 Ca 3.39
2 Li 0.5000 0.0000 0.5000 (multiplicity 1)  4 Ca 3.16, 4 Li 3.24, 4 In 3.39
3 Ca 0.0000 0.5000 0.5000 (multiplicity 1)  8 Li 3.16-3.39, 4 In 3.24
4 In 0.5000 0.5000 0.0000 (multiplicity 1)  8 Li 3.16-3.39, 4 Ca 3.24

Properties
Formation energy (eV per formula unit): -0.891
E_tot (eV/cell): -48.72
Calculated density (g/cm3): 2.9

# YPt2Rh

A PBEsol-optimized structure of YPt2Rh (meta-GGA SCAN, the Alexandria database).

Unit cell a=3.9956 b=3.9956 c=4.0931 alpha=90.00 beta=90.00 gamma=90.00
Closest atoms and distances in Å follow each position.
Space group P4/mmm (No. 123)
Symmetry-distinct sites (fractional):
1 Y 0.0000 0.0000 0.0000 (multiplicity 1)  4 Rh 2.83, 8 Pt 2.86
2 Pt 0.0000 0.5000 0.5000 (multiplicity 2)  4 Pt 2.83, 4 Rh 2.86, 4 Y 2.86
3 Rh 0.5000 0.5000 0.0000 (multiplicity 1)  4 Y 2.83, 8 Pt 2.86

Properties
Formation energy (eV per formula unit): -3.821
E_tot (eV/cell): -205.82
Calculated density (g/cm3): 14.8

# Mg3Te2Pb6WO18

A PBEsol-optimized structure of Mg3Te2Pb6WO18 (meta-GGA SCAN, the Alexandria database).

Unit cell a=5.6357 b=5.6357 c=13.7940 alpha=90.00 beta=90.00 gamma=120.00
Closest atoms and distances in Å follow each position.
Space group P-3m1 (No. 164)
Symmetry-distinct sites (fractional):
1 Mg 0.0000 0.0000 0.0000 (multiplicity 1)  6 O 2.06
2 Mg 0.3333 0.6667 0.6650 (multiplicity 2)  6 O 2.05-2.07
3 Te 0.3333 0.6667 0.1667 (multiplicity 2)  6 O 1.93
4 Pb 0.0000 0.0000 0.2507 (multiplicity 2)  12 O 2.81-2.82
5 Pb 0.3333 0.6667 0.4162 (multiplicity 2)  12 O 2.80-2.82
6 Pb 0.3333 0.6667 0.9160 (multiplicity 2)  12 O 2.82-2.83
7 W 0.0000 0.0000 0.5000 (multiplicity 1)  6 O 1.93
8 O 0.0117 0.5058 0.2478 (multiplicity 6)  1 Te 1.93, 1 Mg 2.07
9 O 0.1610 0.3221 0.5806 (multiplicity 6)  1 W 1.93, 1 Mg 2.05
10 O 0.1719 0.3438 0.0863 (multiplicity 6)  1 Te 1.93, 1 Mg 2.06

Properties
E_tot (eV/cell): -778.25
Calculated density (g/cm3): 8.9
Formation energy without anion corrections (eV/atom): -1.743

# Tl2RuPb

A PBEsol-optimized structure of Tl2RuPb (meta-GGA SCAN, the Alexandria database).

Unit cell a=3.4602 b=5.0433 c=5.0586 alpha=90.00 beta=90.00 gamma=90.00
Closest atoms and distances in Å follow each position.
Space group Pmmm (No. 47)
Symmetry-distinct sites (fractional):
1 Tl 0.0000 0.0000 0.0000 (multiplicity 1)  4 Tl 3.06, 4 Pb 3.06
2 Tl 0.5000 0.5000 0.0000 (multiplicity 1)  4 Tl 3.06, 4 Ru 3.06
3 Ru 0.0000 0.5000 0.5000 (multiplicity 1)  4 Pb 3.06, 4 Tl 3.06
4 Pb 0.5000 0.0000 0.5000 (multiplicity 1)  4 Ru 3.06, 4 Tl 3.06

Properties
Formation energy (eV per formula unit): 2.812
E_tot (eV/cell): -252.51
Calculated density (g/cm3): 13.5

What did the second record say?
# YPt2Rh

A PBEsol-optimized structure of YPt2Rh (meta-GGA SCAN, the Alexandria database).

Unit cell a=3.9956 b=3.9956 c=4.0931 alpha=90.00 beta=90.00 gamma=90.00
Closest atoms and distances in Å follow each position.
Space group P4/mmm (No. 123)
Symmetry-distinct sites (fractional):
1 Y 0.0000 0.0000 0.0000 (multiplicity 1)  4 Rh 2.83, 8 Pt 2.86
2 Pt 0.0000 0.5000 0.5000 (multiplicity 2)  4 Pt 2.83, 4 Rh 2.86, 4 Y 2.86
3 Rh 0.5000 0.5000 0.0000 (multiplicity 1)  4 Y 2.83, 8 Pt 2.86

Properties
Formation energy (eV per formula unit): -3.821
E_tot (eV/cell): -205.82
Calculated density (g/cm3): 14.8

> Number 4 is which compound?

Tl2RuPb

> The lowest calculated density belongs to which entry?

Li2CaIn